# 1
Density functional theory data (GGA-PBE) for an optimized crystal structure of Ba2CuAg3.

Results
* ΔH_f (0 K): -0.21 eV per atom
* crystal system: orthorhombic

Structure (POSCAR):
```
Ba2CuAg3
1.0
0.000 4.789 8.295
4.481 0.000 8.295
4.481 4.789 0.000
Ba Cu Ag
4 2 6
direct
0.249 0.751 0.751
0.250 0.250 0.250
0.750 0.750 0.750
0.751 0.249 0.249
0.333 0.333 0.667
0.667 0.667 0.333
0.172 0.172 0.828
0.173 0.655 0.345
0.345 0.827 0.173
0.655 0.173 0.827
0.827 0.345 0.655
0.828 0.828 0.172
```


# 2
Density functional theory data (GGA-PBE) for an optimized crystal structure of TbGdTc4.

Results
* ΔH_f (0 K): -0.10 eV per atom
* crystal system: cubic

Structure (POSCAR):
```
TbGdTc4
1.0
0.000 3.834 3.834
3.834 0.000 3.834
3.834 3.834 0.000
Tb Gd Tc
1 1 4
direct
0.000 0.000 0.000
0.750 0.750 0.750
0.375 0.375 0.375
0.375 0.375 0.875
0.375 0.875 0.375
0.875 0.375 0.375
```


# 3
Density functional theory data (GGA-PBE) for an optimized crystal structure of La7Dy3Er.

Results
* ΔH_f (0 K): 0.22 eV per atom
* crystal system: monoclinic

Structure (POSCAR):
```
La7Dy3Er
1.0
6.449 -5.793 0.000
6.449 5.793 0.000
-2.803 0.000 5.324
La Dy Er
7 3 1
direct
0.000 0.000 0.000
0.095 0.520 0.307
0.290 0.290 0.791
0.480 0.905 0.693
0.520 0.095 0.307
0.710 0.710 0.209
0.905 0.480 0.693
0.295 0.705 0.000
0.500 0.500 0.500
0.705 0.295 0.000
0.000 0.000 0.500
```


# 4
Density functional theory data (GGA-PBE) for an optimized crystal structure of TePHF.

Results
* crystal system: monoclinic

Structure (POSCAR):
```
TePHF
1.0
4.137 -2.310 0.000
4.137 2.310 0.000
-1.258 0.000 5.301
Te P H F
1 1 1 1
direct
0.000 0.000 0.000
0.550 0.550 0.201
0.714 0.714 0.356
0.449 0.449 0.424
```


# 5
Density functional theory data (GGA-PBE) for an optimized crystal structure of Zr2NiAg.

Results
* ΔH_f (0 K): -0.08 eV per atom
* crystal system: tetragonal

Structure (POSCAR):
```
Zr2NiAg
1.0
4.703 0.000 0.000
0.000 4.703 0.000
0.000 0.000 3.371
Zr Ni Ag
2 1 1
direct
0.000 0.500 0.000
0.500 0.000 0.000
0.000 0.000 0.500
0.500 0.500 0.500
```


# 6
Density functional theory data (GGA-PBE) for an optimized crystal structure of NpUTc2.

Results
* ΔH_f (0 K): 0.12 eV per atom
* crystal system: cubic

Structure (POSCAR):
```
NpUTc2
1.0
0.000 3.361 3.361
3.361 0.000 3.361
3.361 3.361 0.000
Np U Tc
1 1 2
direct
0.000 0.000 0.000
0.500 0.500 0.500
0.250 0.250 0.250
0.750 0.750 0.750
```


# 7
Density functional theory data (GGA-PBE) for an optimized crystal structure of GeBIN2.

Results
* ΔE_f (raw): 1.87 eV per atom
* crystal system: tetragonal

Structure (POSCAR):
```
GeBIN2
1.0
3.702 0.000 0.000
0.000 3.702 0.000
0.000 0.000 5.045
Ge B I N
1 1 1 2
direct
0.000 0.000 0.000
0.500 0.500 0.500
0.500 0.500 0.000
0.000 0.500 0.500
0.500 0.000 0.500
```


# 8
Density functional theory data (GGA-PBE) for an optimized crystal structure of AcPrHo2.

Results
* ΔH_f (0 K): 0.04 eV per atom
* crystal system: trigonal

Structure (POSCAR):
```
AcPrHo2
1.0
1.860 1.074 11.776
-1.860 1.074 11.776
0.000 -2.147 11.776
Ac Pr Ho
1 1 2
direct
0.000 0.000 0.000
0.500 0.500 0.500
0.248 0.248 0.248
0.752 0.752 0.752
```


# 9
Density functional theory data (GGA-PBE) for an optimized crystal structure of YErThZn.

Results
* ΔH_f (0 K): -0.17 eV per atom
* crystal system: tetragonal

Structure (POSCAR):
```
YErThZn
1.0
3.562 0.000 0.000
0.000 3.562 0.000
0.000 0.000 8.531
Y Er Th Zn
1 1 1 1
direct
0.000 0.000 0.000
0.000 0.000 0.580
0.500 0.500 0.293
0.500 0.500 0.785
```


# 10
Density functional theory data (GGA-PBE) for an optimized crystal structure of LiTbO.

Results
* ΔE_f (raw): -1.65 eV per atom
* crystal system: trigonal

Structure (POSCAR):
```
LiTbO
1.0
3.665 0.000 0.000
-1.832 3.174 0.000
0.000 0.000 6.005
Li Tb O
1 1 1
direct
0.000 0.000 0.000
0.667 0.333 0.531
0.333 0.667 0.435
```


# 11
Density functional theory data (GGA-PBE) for an optimized crystal structure of CoSb2TeS.

Results
* ΔE_f (raw): 1.02 eV per atom
* crystal system: tetragonal

Structure (POSCAR):
```
CoSb2TeS
1.0
5.174 0.000 0.000
0.000 5.174 0.000
0.000 0.000 5.151
Co Sb Te S
1 2 1 1
direct
0.000 0.000 0.000
0.000 0.500 0.500
0.500 0.000 0.500
0.500 0.500 0.000
0.500 0.500 0.500
```


# 12
Density functional theory data (GGA-PBE) for an optimized crystal structure of AcHgPbN.

Results
* ΔE_f (raw): -0.48 eV per atom
* crystal system: trigonal

Structure (POSCAR):
```
AcHgPbN
1.0
2.109 1.218 15.540
-2.109 1.218 15.540
0.000 -2.435 15.540
Ac Hg Pb N
2 2 2 2
direct
0.135 0.135 0.135
0.865 0.865 0.865
0.406 0.406 0.406
0.594 0.594 0.594
0.311 0.311 0.311
0.689 0.689 0.689
0.188 0.188 0.188
0.812 0.812 0.812
```


Number 1: V 29.666 A^3/atom, calculated total energy -35.5 eV for the cell shown. Number 2: V 18.785 A^3/atom, calculated total energy -60.8 eV for the cell shown. Number 3: V 36.157 A^3/atom, calculated total energy -50.5 eV for the cell shown. Number 4: V 25.335 A^3/atom, calculated total energy -16.2 eV for the cell shown. Number 5: V 18.644 A^3/atom, calculated total energy -26.1 eV for the cell shown. Number 6: V 18.991 A^3/atom, calculated total energy -44.5 eV for the cell shown. Number 7: V 13.830 A^3/atom, calculated total energy -20.2 eV for the cell shown. Number 8: V 35.269 A^3/atom, calculated total energy -17.9 eV for the cell shown. Number 9: V 27.067 A^3/atom, calculated total energy -20.4 eV for the cell shown. Number 10: V 23.282 A^3/atom, calculated total energy -16.5 eV for the cell shown. Number 11: V 27.573 A^3/atom, calculated total energy -17.5 eV for the cell shown. Number 12: V 29.931 A^3/atom, calculated total energy -36.8 eV for the cell shown.